(1)
# CdGaPb2

A relaxed structure of CdGaPb2 (GGA-PBE, Alexandria via LeMat-Bulk).

```
data_CdGaPb2
_symmetry_space_group_name_H-M 'R 3 m'
_symmetry_Int_Tables_number 160
_symmetry_space_group_name_Hall 'R 3 -2"'
_cell_length_a 4.6635
_cell_length_b 4.6635
_cell_length_c 18.5804
_cell_angle_alpha 90.00
_cell_angle_beta 90.00
_cell_angle_gamma 120.00
loop_
_atom_site_label
_atom_site_type_symbol
_atom_site_fract_x
_atom_site_fract_y
_atom_site_fract_z
_atom_site_occupancy
Cd1 Cd 0.0000 0.0000 0.0000 1
Ga1 Ga 0.0000 0.0000 0.1669 1
Pb1 Pb 0.0000 0.0000 0.5730 1
Pb2 Pb 0.0000 0.0000 0.7623 1
```

(2)
# CdGa3Pb2

A relaxed structure of CdGa3Pb2 (GGA-PBE, Alexandria via LeMat-Bulk).

```
data_CdGa3Pb2
_symmetry_space_group_name_H-M 'C m c m'
_symmetry_Int_Tables_number 63
_symmetry_space_group_name_Hall '-C 2c 2'
_cell_length_a 12.377
_cell_length_b 8.725
_cell_length_c 5.667
_cell_angle_alpha 90.00
_cell_angle_beta 90.00
_cell_angle_gamma 90.00
loop_
_atom_site_label
_atom_site_type_symbol
_atom_site_fract_x
_atom_site_fract_y
_atom_site_fract_z
_atom_site_occupancy
Cd1 Cd 0.000 0.226 0.250 1
Ga1 Ga 0.000 0.500 0.000 1
Ga2 Ga 0.127 0.000 0.000 1
Pb1 Pb 0.181 0.317 0.750 1
```

(3)
# CdGa6Pb2

A relaxed structure of CdGa6Pb2 (GGA-PBE, Alexandria via LeMat-Bulk).

```
data_CdGa6Pb2
_symmetry_space_group_name_H-M 'C 1 2/m 1'
_symmetry_Int_Tables_number 12
_cell_length_a 10.208
_cell_length_b 5.890
_cell_length_c 6.706
_cell_angle_alpha 90.00
_cell_angle_beta 90.17
_cell_angle_gamma 90.00
loop_
_symmetry_equiv_pos_as_xyz
'x,y,z'
'-x,-y,-z'
'-x,y,-z'
'x,-y,z'
'x+1/2,y+1/2,z'
'-x+1/2,-y+1/2,-z'
'-x+1/2,y+1/2,-z'
'x+1/2,-y+1/2,z'
loop_
_atom_site_label
_atom_site_type_symbol
_atom_site_fract_x
_atom_site_fract_y
_atom_site_fract_z
_atom_site_occupancy
Cd1 Cd 0.000 0.000 0.000 1
Ga1 Ga 0.088 0.266 0.658 1
Ga2 Ga 0.177 0.000 0.346 1
Pb1 Pb 0.167 0.500 0.128 1
```

(4)
# CdGaPb2

A relaxed structure of CdGaPb2 (GGA-PBE, Alexandria via LeMat-Bulk).

```
data_CdGaPb2
_symmetry_space_group_name_H-M 'P 4/m m m'
_symmetry_Int_Tables_number 123
_symmetry_space_group_name_Hall '-P 4 2'
_cell_length_a 3.558
_cell_length_b 3.558
_cell_length_c 8.435
_cell_angle_alpha 90.00
_cell_angle_beta 90.00
_cell_angle_gamma 90.00
loop_
_atom_site_label
_atom_site_type_symbol
_atom_site_fract_x
_atom_site_fract_y
_atom_site_fract_z
_atom_site_occupancy
Cd1 Cd 0.000 0.000 0.000 1
Ga1 Ga 0.000 0.000 0.500 1
Pb1 Pb 0.500 0.500 0.262 1
```

(5)
# CdGa2Pb2

A relaxed structure of CdGa2Pb2 (GGA-PBE, Alexandria via LeMat-Bulk).

```
data_CdGa2Pb2
_symmetry_space_group_name_H-M 'P 4/m b m'
_symmetry_Int_Tables_number 127
_symmetry_space_group_name_Hall '-P 4 2ab'
_cell_length_a 8.984
_cell_length_b 8.984
_cell_length_c 3.352
_cell_angle_alpha 90.00
_cell_angle_beta 90.00
_cell_angle_gamma 90.00
loop_
_atom_site_label
_atom_site_type_symbol
_atom_site_fract_x
_atom_site_fract_y
_atom_site_fract_z
_atom_site_occupancy
Cd1 Cd 0.000 0.000 0.000 1
Ga1 Ga 0.109 0.391 0.500 1
Pb1 Pb 0.186 0.686 0.000 1
```

(6)
# CdGa2Pb2

A relaxed structure of CdGa2Pb2 (GGA-PBE, Alexandria via LeMat-Bulk).

```
data_CdGa2Pb2
_symmetry_space_group_name_H-M 'I 4/m m m'
_symmetry_Int_Tables_number 139
_symmetry_space_group_name_Hall '-I 4 2'
_cell_length_a 3.827
_cell_length_b 3.827
_cell_length_c 17.895
_cell_angle_alpha 90.00
_cell_angle_beta 90.00
_cell_angle_gamma 90.00
loop_
_atom_site_label
_atom_site_type_symbol
_atom_site_fract_x
_atom_site_fract_y
_atom_site_fract_z
_atom_site_occupancy
Cd1 Cd 0.000 0.000 0.000 1
Ga1 Ga 0.000 0.500 0.250 1
Pb1 Pb 0.000 0.000 0.390 1
```

Number 1: energy of formation from the pure elements 134 meV/atom, VASP energy -2.705 eV/atom, Fermi-level density of states 1.98 states/eV/f.u.. Number 2: energy of formation from the pure elements 82 meV/atom, VASP energy -2.820 eV/atom, Fermi-level density of states 1.94 states/eV/f.u.. Number 3: energy of formation from the pure elements 24 meV/atom, VASP energy -2.920 eV/atom, Fermi-level density of states 3.46 states/eV/f.u.. Number 4: energy of formation from the pure elements 55 meV/atom, VASP energy -2.785 eV/atom, Fermi-level density of states 1.57 states/eV/f.u.. Number 5: energy of formation from the pure elements 139 meV/atom, VASP energy -2.738 eV/atom, Fermi-level density of states 2.23 states/eV/f.u.. Number 6: energy of formation from the pure elements 82 meV/atom, VASP energy -2.795 eV/atom, Fermi-level density of states 2.46 states/eV/f.u..